Record 1
PaNi2Se3, optimized geometry, DFT GGA-PBE; crystal system = monoclinic; M_tot = 0.0 μB/cell; ΔE_f (raw) = -0.773 eV per atom; DOS at the Fermi energy = 4.560 states/eV/f.u.
1.0
6.320 0.000 0.000
0.000 3.977 0.000
-1.345 0.000 10.240
Pa Ni Se
2 4 6
Direct
0.190 0.250 0.327
0.810 0.750 0.673
0.035 0.750 0.088
0.447 0.250 0.569
0.553 0.750 0.431
0.965 0.250 0.912
0.146 0.750 0.877
0.225 0.750 0.546
0.399 0.750 0.202
0.601 0.250 0.798
0.775 0.250 0.454
0.854 0.250 0.123

=====

Record 2
PaNiSe2, optimized geometry, DFT GGA-PBE; crystal system = orthorhombic; M_tot = 3.1 μB/cell; ΔE_f (raw) = -0.910 eV per atom; DOS at the Fermi energy = 3.949 states/eV/f.u.
1.0
3.963 -7.255 0.000
3.963 7.255 0.000
0.000 0.000 7.272
Pa Ni Se
4 4 8
Direct
0.249 0.249 0.000
0.251 0.251 0.500
0.749 0.749 0.500
0.751 0.751 0.000
0.077 0.923 0.748
0.423 0.577 0.248
0.577 0.423 0.752
0.923 0.077 0.252
0.086 0.914 0.251
0.087 0.413 0.250
0.413 0.087 0.750
0.414 0.586 0.751
0.586 0.414 0.249
0.587 0.913 0.250
0.913 0.587 0.750
0.914 0.086 0.749

=====

Record 3
SmPaNiSe4, optimized geometry, DFT GGA-PBE; crystal system = monoclinic; M_tot = 0.0 μB/cell; ΔE_f (raw) = -1.246 eV per atom; DOS at the Fermi energy = 3.241 states/eV/f.u.
1.0
6.637 0.000 0.000
0.000 6.185 0.000
-2.248 0.000 7.678
Sm Pa Ni Se
2 2 2 8
Direct
0.242 0.250 0.057
0.758 0.750 0.943
0.251 0.250 0.559
0.749 0.750 0.441
0.247 0.750 0.332
0.753 0.250 0.668
0.016 0.510 0.744
0.016 0.990 0.744
0.428 0.750 0.116
0.432 0.750 0.619
0.568 0.250 0.381
0.572 0.250 0.884
0.984 0.010 0.256
0.984 0.490 0.256

=====

Record 4
SrPaNiSe4, optimized geometry, DFT GGA-PBE; crystal system = monoclinic; M_tot = 0.0 μB/cell; ΔE_f (raw) = -1.265 eV per atom; DOS at the Fermi energy = 1.530 states/eV/f.u.
1.0
6.813 0.000 0.000
0.000 5.970 0.000
-2.452 0.000 8.232
Sr Pa Ni Se
2 2 2 8
Direct
0.243 0.250 0.441
0.757 0.750 0.559
0.234 0.250 0.941
0.766 0.750 0.059
0.250 0.750 0.163
0.750 0.250 0.837
0.068 0.750 0.362
0.072 0.750 0.894
0.483 0.509 0.774
0.483 0.991 0.774
0.517 0.009 0.226
0.517 0.491 0.226
0.928 0.250 0.106
0.932 0.250 0.638

=====

Record 5
TbPaNiSe4, optimized geometry, DFT GGA-PBE; crystal system = monoclinic; M_tot = 0.0 μB/cell; ΔE_f (raw) = -1.232 eV per atom; DOS at the Fermi energy = 2.665 states/eV/f.u.
1.0
6.610 0.000 0.000
0.000 6.168 0.000
-2.183 0.000 7.598
Tb Pa Ni Se
2 2 2 8
Direct
0.242 0.250 0.056
0.758 0.750 0.944
0.250 0.250 0.558
0.750 0.750 0.442
0.249 0.750 0.335
0.751 0.250 0.665
0.015 0.510 0.748
0.015 0.990 0.748
0.430 0.750 0.114
0.434 0.750 0.624
0.566 0.250 0.376
0.570 0.250 0.886
0.985 0.010 0.252
0.985 0.490 0.252

=====

Record 6
PaTl3Ni2Se6, optimized geometry, DFT GGA-PBE; crystal system = monoclinic; M_tot = 0.0 μB/cell; ΔE_f (raw) = -0.559 eV per atom; DOS at the Fermi energy = 6.130 states/eV/f.u.
1.0
3.202 -5.534 0.000
3.202 5.534 0.000
-2.151 0.000 8.298
Pa Tl Ni Se
1 3 2 6
Direct
0.000 0.000 0.000
0.162 0.838 0.500
0.500 0.500 0.500
0.838 0.162 0.500
0.333 0.667 0.000
0.667 0.333 0.000
0.060 0.432 0.179
0.313 0.313 0.823
0.432 0.060 0.179
0.568 0.940 0.821
0.687 0.687 0.177
0.940 0.568 0.821

=====

Record 7
PaTlNiSe3, optimized geometry, DFT GGA-PBE; crystal system = orthorhombic; M_tot = 0.0 μB/cell; ΔE_f (raw) = -0.958 eV per atom; DOS at the Fermi energy = 0.617 states/eV/f.u.
1.0
2.003 -7.536 0.000
2.003 7.536 0.000
0.000 0.000 10.378
Pa Tl Ni Se
2 2 2 6
Direct
0.000 0.000 0.000
0.000 0.000 0.500
0.249 0.751 0.750
0.751 0.249 0.250
0.474 0.526 0.250
0.526 0.474 0.750
0.067 0.933 0.250
0.376 0.624 0.068
0.376 0.624 0.432
0.624 0.376 0.568
0.624 0.376 0.932
0.933 0.067 0.750

=====

Record 8
Pa3Tl4NiSe8, optimized geometry, DFT GGA-PBE; crystal system = monoclinic; M_tot = 3.8 μB/cell; ΔE_f (raw) = -0.816 eV per atom; DOS at the Fermi energy = 19.920 states/eV/f.u.
1.0
7.032 -4.055 0.000
7.032 4.055 0.000
-4.694 0.000 8.008
Pa Tl Ni Se
3 4 1 8
Direct
0.000 0.000 0.000
0.000 0.500 0.000
0.500 0.000 0.000
0.000 0.000 0.500
0.000 0.500 0.500
0.500 0.000 0.500
0.500 0.500 0.500
0.500 0.500 0.000
0.237 0.237 0.210
0.247 0.724 0.194
0.276 0.276 0.806
0.276 0.753 0.806
0.724 0.247 0.194
0.724 0.724 0.194
0.753 0.276 0.806
0.763 0.763 0.790